Entry 1:
## PdPbO3 (PBE)

Data for an optimized crystal structure of PdPbO3.

Computed properties:
space group: No. 62
energy: -0.3962 Ry per atom

Geometry as POSCAR:
```
PdPbO3
1.0
5.783 0.000 0.000
0.000 7.857 0.000
0.000 0.000 5.525
Pd Pb O
4 4 12
Direct
0.000 0.000 0.000
0.000 0.500 0.000
0.500 0.000 0.500
0.500 0.500 0.500
0.055 0.250 0.485
0.445 0.750 0.985
0.555 0.250 0.015
0.945 0.750 0.515
0.048 0.750 0.109
0.197 0.554 0.693
0.197 0.946 0.693
0.303 0.054 0.193
0.303 0.446 0.193
0.452 0.250 0.609
0.548 0.750 0.391
0.697 0.554 0.807
0.697 0.946 0.807
0.803 0.054 0.307
0.803 0.446 0.307
0.952 0.250 0.891
```


Entry 2:
## RbZrNb (PBE)

Data for an optimized crystal structure of RbZrNb.

Computed properties:
space group: No. 216
energy: -0.2906 Ry per atom

Geometry as POSCAR:
```
RbZrNb
1.0
0.000 3.495 3.495
3.495 0.000 3.495
3.495 3.495 0.000
Rb Zr Nb
1 1 1
Direct
0.000 0.000 0.000
0.250 0.250 0.250
0.750 0.750 0.750
```


Entry 3:
## RbLuNO (PBE)

Data for an optimized crystal structure of RbLuNO.

Computed properties:
space group: No. 26
energy: -0.4404 Ry per atom

Geometry as POSCAR:
```
RbLuNO
1.0
3.843 0.000 0.000
0.000 7.483 0.000
0.000 0.000 6.234
Rb Lu N O
2 2 2 2
Direct
0.000 0.169 0.000
0.000 0.831 0.500
0.500 0.358 0.525
0.500 0.642 0.025
0.000 0.218 0.464
0.000 0.782 0.964
0.500 0.407 0.851
0.500 0.593 0.351
```


Entry 4:
## KTaAgSe2S (PBE)

Data for an optimized crystal structure of KTaAgSe2S.

Computed properties:
space group: No. 63
energy: -0.3753 Ry per atom

Geometry as POSCAR:
```
KTaAgSe2S
1.0
1.890 -7.527 0.000
1.890 7.527 0.000
0.000 0.000 10.050
K Ta Ag Se S
2 2 2 4 2
Direct
0.245 0.755 0.750
0.755 0.245 0.250
0.500 0.500 0.000
0.500 0.500 0.500
0.049 0.951 0.250
0.951 0.049 0.750
0.125 0.875 0.025
0.125 0.875 0.475
0.875 0.125 0.525
0.875 0.125 0.975
0.439 0.561 0.250
0.561 0.439 0.750
```


Entry 5:
## TaCoAg (PBE)

Data for an optimized crystal structure of TaCoAg.

Computed properties:
space group: No. 216
formation enthalpy at 0 K: 0.8951 eV per atom
energy: -0.4679 Ry per atom

Geometry as POSCAR:
```
TaCoAg
1.0
0.000 3.010 3.010
3.010 0.000 3.010
3.010 3.010 0.000
Ta Co Ag
1 1 1
Direct
0.000 0.000 0.000
0.250 0.250 0.250
0.750 0.750 0.750
```


Entry 6:
## CdHgNO (PBE)

Data for an optimized crystal structure of CdHgNO.

Computed properties:
space group: No. 129
energy: -0.2401 Ry per atom

Geometry as POSCAR:
```
CdHgNO
1.0
4.527 0.000 0.000
0.000 4.527 0.000
0.000 0.000 5.876
Cd Hg N O
2 2 2 2
Direct
0.250 0.250 0.053
0.750 0.750 0.947
0.250 0.750 0.500
0.750 0.250 0.500
0.250 0.250 0.457
0.750 0.750 0.543
0.250 0.750 0.000
0.750 0.250 0.000
```